A plane-wave DFT calculation with PBE-GGA was carried out for Re2Au after structural relaxation.

Output
DFT formation energy = 0.53 eV per atom
magnetization = 0.000 μB per formula unit
N(E_F) = 0.550 states/eV per atom
VASP energy = -8.8594 eV/atom
SG = P-3m1

a = 4.498 Å, b = 4.498 Å, c = 2.739 Å
α = 90.00°, β = 90.00°, γ = 120.00°
Fractional positions:
1 Re 0.333 0.667 0.406
2 Re 0.667 0.333 0.594
3 Au 0.000 0.000 0.000